{
  "formula": "Cu2WI",
  "functional": "PBE",
  "state": "relaxed",
  "lattice": [[-3.6399, 3.6399, 2.7001], [3.6399, -3.6399, 2.7001], [3.6399, 3.6399, -2.7001]],
  "species": ["Cu", "Cu", "Cu", "Cu", "W", "W", "I", "I"],
  "fractional_positions": [[0.1132, 0.6250, 0.9882], [0.3750, 0.3632, 0.4882], [0.6368, 0.1250, 0.0118], [0.8750, 0.8868, 0.5118], [0.0000, 0.0000, 0.0000], [0.7500, 0.2500, 0.5000], [0.2500, 0.7500, 0.5000], [0.5000, 0.5000, 0.0000]]
}

{
  "formula": "Cu2WI",
  "functional": "PBE",
  "state": "relaxed",
  "lattice": [[0.0000, 3.2784, 3.2784], [3.2784, 0.0000, 3.2784], [3.2784, 3.2784, 0.0000]],
  "species": ["Cu", "Cu", "W", "I"],
  "fractional_positions": [[0.2500, 0.2500, 0.2500], [0.7500, 0.7500, 0.7500], [0.0000, 0.0000, 0.0000], [0.5000, 0.5000, 0.5000]]
}

{
  "formula": "CuWI2",
  "functional": "PBE",
  "state": "relaxed",
  "lattice": [[0.0000, 3.4282, 3.4282], [3.4282, 0.0000, 3.4282], [3.4282, 3.4282, 0.0000]],
  "species": ["Cu", "W", "I", "I"],
  "fractional_positions": [[0.0000, 0.0000, 0.0000], [0.5000, 0.5000, 0.5000], [0.2500, 0.2500, 0.2500], [0.7500, 0.7500, 0.7500]]
}

{
  "formula": "YCu2I",
  "functional": "PBE",
  "state": "relaxed",
  "lattice": [[0.0000, 3.5037, 3.5037], [3.5037, 0.0000, 3.5037], [3.5037, 3.5037, 0.0000]],
  "species": ["Y", "Cu", "Cu", "I"],
  "fractional_positions": [[0.0000, 0.0000, 0.0000], [0.2500, 0.2500, 0.2500], [0.7500, 0.7500, 0.7500], [0.5000, 0.5000, 0.5000]]
}

{
  "formula": "YCuI3",
  "functional": "PBE",
  "state": "relaxed",
  "lattice": [[5.9677, 0.0000, 0.0000], [0.0000, 5.9677, 0.0000], [0.0000, 0.0000, 5.9677]],
  "species": ["Y", "Cu", "I", "I", "I"],
  "fractional_positions": [[0.0000, 0.0000, 0.0000], [0.5000, 0.5000, 0.5000], [0.0000, 0.0000, 0.5000], [0.0000, 0.5000, 0.0000], [0.5000, 0.0000, 0.0000]]
}

{
  "formula": "YCuI4",
  "functional": "PBE",
  "state": "relaxed",
  "lattice": [[8.5377, -2.1000, 0.0000], [8.5377, 2.1000, 0.0000], [-3.1753, 0.0000, 6.8373]],
  "species": ["Y", "Cu", "I", "I", "I", "I"],
  "fractional_positions": [[0.0000, 0.0000, 0.0000], [0.5000, 0.5000, 0.5000], [0.0971, 0.0971, 0.4418], [0.3760, 0.3760, 0.0251], [0.6240, 0.6240, 0.9749], [0.9029, 0.9029, 0.5582]]
}

Let's list ΔE_f (raw) in order: 1190.3 1430.2 1153.8 202.7 -352.8 -894.7 meV per atom.